EuZnGe (GGA-PBEsol, relaxed); density of states at the Fermi level = 9.89 states/eV/cell; size of the total moment = 7.04 Bohr magnetons per cell; energy = -18.8 eV/cell; calculated volume = 65.6 Å³ per cell; symmetry = P-6m2; calculated formation energy = -56.5 kJ/mol of atoms
1.0
4.202 0.000 0.000
-2.101 3.639 0.000
0.000 0.000 4.290
Eu Ge Zn
1 1 1
Direct
0.000 0.000 0.000 Eu
0.333 0.667 0.500 Ge
0.667 0.333 0.500 Zn